First-principles (PBE+U) data for a relaxed FePtN2O crystal, as listed in Alexandria via LeMat-Bulk.

Lattice parameters (Å, degrees): 3.904 3.904 3.633 90.00 90.00 90.00
Fractional positions:
N 0.500 0.000 0.000
N 0.000 0.500 0.000
Fe 0.000 0.000 0.000
O 0.000 0.000 0.500
Pt 0.500 0.500 0.500

Output
E_tot = -5.35 eV per atom
DOS(E_F) = 4.7 states/eV/cell
V = 11.08 Å³/atom